--- one ---
# PBE LiPdSCl2, optimized geometry
# DOS(E_F) in states/eV/atom: 1.6949
# V in Å³ per atom: 19.14
# Total moment in μB/f.u.: 1.20
# Crystal system: tetragonal
data_LiPdSCl2
_chemical_formula_sum 'Li1 Pd1 S1 Cl2'
_cell_length_a 4.4580
_cell_length_b 4.4580
_cell_length_c 4.8147
_cell_angle_alpha 90.00
_cell_angle_beta 90.00
_cell_angle_gamma 90.00
_symmetry_space_group_name_H-M 'P 4/m m m'
_symmetry_Int_Tables_number 123
_symmetry_space_group_name_Hall '-P 4 2'
loop_
_atom_site_label
_atom_site_fract_x
_atom_site_fract_y
_atom_site_fract_z
Li1 0.0000 0.0000 0.0000
Pd1 0.5000 0.5000 0.5000
S1 0.0000 0.0000 0.5000
Cl1 0.0000 0.5000 0.0000

---

--- two ---
# PBE LiPdSCl2, optimized geometry
# DOS(E_F) in states/eV/atom: 0.6356
# V in Å³ per atom: 23.34
# Total moment in μB/f.u.: 1.00
# Crystal system: tetragonal
data_LiPdSCl2
_chemical_formula_sum 'Li1 Pd1 S1 Cl2'
_cell_length_a 5.0279
_cell_length_b 5.0279
_cell_length_c 4.6160
_cell_angle_alpha 90.00
_cell_angle_beta 90.00
_cell_angle_gamma 90.00
_symmetry_space_group_name_H-M 'P 4/m m m'
_symmetry_Int_Tables_number 123
_symmetry_space_group_name_Hall '-P 4 2'
loop_
_atom_site_label
_atom_site_fract_x
_atom_site_fract_y
_atom_site_fract_z
Li1 0.0000 0.0000 0.0000
Pd1 0.5000 0.5000 0.5000
S1 0.5000 0.5000 0.0000
Cl1 0.0000 0.5000 0.5000

---

Stability summary: most stable two, least stable one.

---

--- one ---
# PBE Li2PmCl5, optimized geometry
# DOS(E_F) in states/eV/atom: 0.0000
# V in Å³ per atom: 25.24
# Total moment in μB/f.u.: 0.00
# Crystal system: monoclinic
data_Li2PmCl5
_chemical_formula_sum 'Li8 Pm4 Cl20'
_cell_length_a 12.8701
_cell_length_b 6.9185
_cell_length_c 9.8806
_cell_angle_alpha 90.00
_cell_angle_beta 113.35
_cell_angle_gamma 90.00
_symmetry_space_group_name_H-M 'C 1 2/c 1'
_symmetry_Int_Tables_number 15
_symmetry_space_group_name_Hall '-C 2yc'
loop_
_atom_site_label
_atom_site_fract_x
_atom_site_fract_y
_atom_site_fract_z
Li1 0.1252 0.0300 0.1839
Pm1 0.0000 0.5000 0.0000
Cl1 0.0000 0.3195 0.7500
Cl2 0.0816 0.1580 0.4456
Cl3 0.2051 0.3437 0.1604

---

--- two ---
# PBE Li2PmCl5, optimized geometry
# DOS(E_F) in states/eV/atom: 0.0000
# V in Å³ per atom: 27.39
# Total moment in μB/f.u.: 0.00
# Crystal system: orthorhombic
data_Li2PmCl5
_chemical_formula_sum 'Li8 Pm4 Cl20'
_cell_length_a 5.2304
_cell_length_b 12.4803
_cell_length_c 13.4268
_cell_angle_alpha 90.00
_cell_angle_beta 90.00
_cell_angle_gamma 90.00
_symmetry_space_group_name_H-M 'C m c m'
_symmetry_Int_Tables_number 63
_symmetry_space_group_name_Hall '-C 2c 2'
loop_
_atom_site_label
_atom_site_fract_x
_atom_site_fract_y
_atom_site_fract_z
Li1 0.0000 0.1427 0.0314
Pm1 0.0000 0.1981 0.7500
Cl1 0.0000 0.0347 0.6207
Cl2 0.0000 0.2416 0.2500
Cl3 0.0000 0.3129 0.5728

---

Stability summary: most stable one, least stable two.

---

--- one ---
# PBE Li3PmCl6, optimized geometry
# DOS(E_F) in states/eV/atom: 0.0000
# V in Å³ per atom: 24.05
# Total moment in μB/f.u.: 0.00
# Crystal system: orthorhombic
data_Li3PmCl6
_chemical_formula_sum 'Li6 Pm2 Cl12'
_cell_length_a 8.4590
_cell_length_b 12.9538
_cell_length_c 4.3905
_cell_angle_alpha 90.00
_cell_angle_beta 90.00
_cell_angle_gamma 90.00
_symmetry_space_group_name_H-M 'C m m m'
_symmetry_Int_Tables_number 65
_symmetry_space_group_name_Hall '-C 2 2'
loop_
_atom_site_label
_atom_site_fract_x
_atom_site_fract_y
_atom_site_fract_z
Li1 0.0000 0.0000 0.0000
Li2 0.2500 0.2500 0.5000
Pm1 0.0000 0.5000 0.0000
Cl1 0.0000 0.3617 0.5000
Cl2 0.2102 0.1248 0.0000

---

--- two ---
# PBE Li3PmCl6, optimized geometry
# DOS(E_F) in states/eV/atom: 0.0000
# V in Å³ per atom: 22.91
# Total moment in μB/f.u.: 0.00
# Crystal system: trigonal
data_Li3PmCl6
_chemical_formula_sum 'Li9 Pm3 Cl18'
_cell_length_a 6.6145
_cell_length_b 6.6145
_cell_length_c 18.1359
_cell_angle_alpha 90.00
_cell_angle_beta 90.00
_cell_angle_gamma 120.00
_symmetry_space_group_name_H-M 'R 3'
_symmetry_Int_Tables_number 146
_symmetry_space_group_name_Hall 'R 3'
loop_
_atom_site_label
_atom_site_fract_x
_atom_site_fract_y
_atom_site_fract_z
Li1 0.0000 0.0000 0.0000
Li2 0.0000 0.0000 0.2010
Li3 0.0000 0.0000 0.7007
Pm1 0.0000 0.0000 0.5026
Cl1 0.0212 0.6749 0.2679
Cl2 0.0364 0.3522 0.7653

---

Stability summary: most stable two, least stable one.

---

--- one ---
# PBE LiPrCl4, optimized geometry
# DOS(E_F) in states/eV/atom: 0.0000
# V in Å³ per atom: 28.47
# Total moment in μB/f.u.: 0.00
# Crystal system: monoclinic
data_LiPrCl4
_chemical_formula_sum 'Li2 Pr2 Cl8'
_cell_length_a 7.7038
_cell_length_b 6.5023
_cell_length_c 7.7391
_cell_angle_alpha 90.00
_cell_angle_beta 118.21
_cell_angle_gamma 90.00
_symmetry_space_group_name_H-M 'P 1 21/c 1'
_symmetry_Int_Tables_number 14
_symmetry_space_group_name_Hall '-P 2ybc'
loop_
_atom_site_label
_atom_site_fract_x
_atom_site_fract_y
_atom_site_fract_z
Li1 0.0000 0.0000 0.0000
Pr1 0.5000 0.0000 0.5000
Cl1 0.1558 0.2129 0.3146
Cl2 0.3262 0.7159 0.6453

---

--- two ---
# PBE LiPrCl4, optimized geometry
# DOS(E_F) in states/eV/atom: 0.0000
# V in Å³ per atom: 27.42
# Total moment in μB/f.u.: 0.00
# Crystal system: tetragonal
data_LiPrCl4
_chemical_formula_sum 'Li4 Pr4 Cl16'
_cell_length_a 8.8680
_cell_length_b 8.8680
_cell_length_c 8.3670
_cell_angle_alpha 90.00
_cell_angle_beta 90.00
_cell_angle_gamma 90.00
_symmetry_space_group_name_H-M 'I 41/a m d'
_symmetry_Int_Tables_number 141
loop_
_symmetry_equiv_pos_as_xyz
'x,y,z'
'-x,-y,-z'
'-y+1/4,x+3/4,z+1/4'
'y+1/4,-x+3/4,-z+1/4'
'-x+1/2,-y,z+1/2'
'x+1/2,y,-z+1/2'
'y+1/4,-x+1/4,z+3/4'
'-y+1/4,x+1/4,-z+3/4'
'x,-y,-z'
'-x,y,z'
'-y+1/4,-x+1/4,-z+3/4'
'y+1/4,x+1/4,z+3/4'
'-x+1/2,y,-z+1/2'
'x+1/2,-y,z+1/2'
'y+1/4,x+3/4,-z+1/4'
'-y+1/4,-x+3/4,z+1/4'
'x+1/2,y+1/2,z+1/2'
'-x+1/2,-y+1/2,-z+1/2'
'-y+3/4,x+1/4,z+3/4'
'y+3/4,-x+1/4,-z+3/4'
'-x,-y+1/2,z'
'x,y+1/2,-z'
'y+3/4,-x+3/4,z+1/4'
'-y+3/4,x+3/4,-z+1/4'
'x+1/2,-y+1/2,-z+1/2'
'-x+1/2,y+1/2,z+1/2'
'-y+3/4,-x+3/4,-z+1/4'
'y+3/4,x+3/4,z+1/4'
'-x,y+1/2,-z'
'x,-y+1/2,z'
'y+3/4,x+1/4,-z+3/4'
'-y+3/4,-x+1/4,z+3/4'
loop_
_atom_site_label
_atom_site_fract_x
_atom_site_fract_y
_atom_site_fract_z
Li1 0.0000 0.2500 0.3750
Pr1 0.0000 0.2500 0.8750
Cl1 0.0000 0.0650 0.1777

---

Stability summary: most stable two, least stable one.

---

--- one ---
# PBE Li2PtCl, optimized geometry
# DOS(E_F) in states/eV/atom: 0.1522
# V in Å³ per atom: 15.14
# Total moment in μB/f.u.: 0.00
# Crystal system: monoclinic
data_Li2PtCl
_chemical_formula_sum 'Li4 Pt2 Cl2'
_cell_length_a 5.7432
_cell_length_b 6.9947
_cell_length_c 3.0156
_cell_angle_alpha 90.00
_cell_angle_beta 90.38
_cell_angle_gamma 90.00
_symmetry_space_group_name_H-M 'C 1 2/m 1'
_symmetry_Int_Tables_number 12
_symmetry_space_group_name_Hall '-C 2y'
loop_
_atom_site_label
_atom_site_fract_x
_atom_site_fract_y
_atom_site_fract_z
Li1 0.2500 0.2500 0.0000
Pt1 0.0000 0.0000 0.5000
Cl1 0.0000 0.5000 0.5000

---

--- two ---
# PBE Li2PtCl, optimized geometry
# DOS(E_F) in states/eV/atom: 0.0594
# V in Å³ per atom: 15.10
# Total moment in μB/f.u.: 0.00
# Crystal system: orthorhombic
data_Li2PtCl
_chemical_formula_sum 'Li4 Pt2 Cl2'
_cell_length_a 3.5526
_cell_length_b 4.7672
_cell_length_c 7.1305
_cell_angle_alpha 90.00
_cell_angle_beta 90.00
_cell_angle_gamma 90.00
_symmetry_space_group_name_H-M 'C m m m'
_symmetry_Int_Tables_number 65
_symmetry_space_group_name_Hall '-C 2 2'
loop_
_atom_site_label
_atom_site_fract_x
_atom_site_fract_y
_atom_site_fract_z
Li1 0.0000 0.0000 0.2232
Pt1 0.0000 0.5000 0.5000
Cl1 0.0000 0.5000 0.0000

---

--- three ---
# PBE Li2PtCl, optimized geometry
# DOS(E_F) in states/eV/atom: 0.5888
# V in Å³ per atom: 17.75
# Total moment in μB/f.u.: 0.00
# Crystal system: tetragonal
data_Li2PtCl
_chemical_formula_sum 'Li2 Pt1 Cl1'
_cell_length_a 3.1624
_cell_length_b 3.1624
_cell_length_c 7.1006
_cell_angle_alpha 90.00
_cell_angle_beta 90.00
_cell_angle_gamma 90.00
_symmetry_space_group_name_H-M 'P 4 m m'
_symmetry_Int_Tables_number 99
_symmetry_space_group_name_Hall 'P 4 -2'
loop_
_atom_site_label
_atom_site_fract_x
_atom_site_fract_y
_atom_site_fract_z
Li1 0.0000 0.0000 0.0000
Li2 0.5000 0.5000 0.2522
Pt1 0.0000 0.0000 0.4309
Cl1 0.5000 0.5000 0.9209

---

--- four ---
# PBE Li2PtCl, optimized geometry
# DOS(E_F) in states/eV/atom: 0.3777
# V in Å³ per atom: 15.68
# Total moment in μB/f.u.: 0.00
# Crystal system: monoclinic
data_Li2PtCl
_chemical_formula_sum 'Li4 Pt2 Cl2'
_cell_length_a 9.8724
_cell_length_b 2.9548
_cell_length_c 4.3774
_cell_angle_alpha 90.00
_cell_angle_beta 100.85
_cell_angle_gamma 90.00
_symmetry_space_group_name_H-M 'C 1 m 1'
_symmetry_Int_Tables_number 8
_symmetry_space_group_name_Hall 'C -2y'
loop_
_atom_site_label
_atom_site_fract_x
_atom_site_fract_y
_atom_site_fract_z
Li1 0.0000 0.0000 0.0000
Li2 0.1926 0.0000 0.5998
Pt1 0.2440 0.5000 0.1173
Cl1 0.4712 0.0000 0.5319

---

Stability summary: most stable two, least stable four.

---

--- one ---
# PBE Li2PtCl, optimized geometry
# DOS(E_F) in states/eV/atom: 0.3133
# V in Å³ per atom: 15.97
# Total moment in μB/f.u.: 0.00
# Crystal system: tetragonal
data_Li2PtCl
_chemical_formula_sum 'Li8 Pt4 Cl4'
_cell_length_a 6.8246
_cell_length_b 6.8246
_cell_length_c 5.4861
_cell_angle_alpha 90.00
_cell_angle_beta 90.00
_cell_angle_gamma 90.00
_symmetry_space_group_name_H-M 'I -4 2 d'
_symmetry_Int_Tables_number 122
_symmetry_space_group_name_Hall 'I -4 2bw'
loop_
_atom_site_label
_atom_site_fract_x
_atom_site_fract_y
_atom_site_fract_z
Li1 0.2204 0.2500 0.1250
Pt1 0.0000 0.0000 0.5000
Cl1 0.0000 0.0000 0.0000

---

--- two ---
# PBE Li2PtCl, optimized geometry
# DOS(E_F) in states/eV/atom: 0.1845
# V in Å³ per atom: 17.19
# Total moment in μB/f.u.: 0.00
# Crystal system: orthorhombic
data_Li2PtCl
_chemical_formula_sum 'Li4 Pt2 Cl2'
_cell_length_a 4.2862
_cell_length_b 4.2989
_cell_length_c 7.4638
_cell_angle_alpha 90.00
_cell_angle_beta 90.00
_cell_angle_gamma 90.00
_symmetry_space_group_name_H-M 'C m m 2'
_symmetry_Int_Tables_number 35
_symmetry_space_group_name_Hall 'C 2 -2'
loop_
_atom_site_label
_atom_site_fract_x
_atom_site_fract_y
_atom_site_fract_z
Li1 0.0000 0.0000 0.0000
Li2 0.0000 0.5000 0.4413
Pt1 0.0000 0.5000 0.7927
Cl1 0.0000 0.0000 0.3120

---

Stability summary: most stable two, least stable one.